Entry 1:
# GGA-PBE Sc2CuSi3Pt4, optimized geometry
# Formation energy without anion corrections, eV per atom: -0.874
data_Sc2CuSi3Pt4
_cell_length_a 4.007
_cell_length_b 4.007
_cell_length_c 10.332
_cell_angle_alpha 90.00
_cell_angle_beta 90.00
_cell_angle_gamma 90.00
_symmetry_space_group_name_H-M 'P -4 m 2'
_symmetry_Int_Tables_number 115
loop_
_symmetry_equiv_pos_as_xyz
'x,y,z'
'y,-x,-z'
'-x,-y,z'
'-y,x,-z'
'-x,y,z'
'-y,-x,-z'
'x,-y,z'
'y,x,-z'
loop_
_atom_site_label
_atom_site_type_symbol
_atom_site_fract_x
_atom_site_fract_y
_atom_site_fract_z
Sc1 Sc 0.000 0.500 0.241
Cu1 Cu 0.500 0.500 0.000
Si1 Si 0.000 0.000 0.000
Si2 Si 0.000 0.500 0.638
Pt1 Pt 0.000 0.000 0.500
Pt2 Pt 0.000 0.500 0.858
Pt3 Pt 0.500 0.500 0.500


Entry 2:
# GGA-PBE CePm2Pt, optimized geometry
# ΔE_f, eV per atom: -0.57
data_CePm2Pt
_cell_length_a 7.143
_cell_length_b 9.917
_cell_length_c 6.657
_cell_angle_alpha 90.00
_cell_angle_beta 90.00
_cell_angle_gamma 90.00
_symmetry_space_group_name_H-M 'P n m a'
_symmetry_Int_Tables_number 62
loop_
_symmetry_equiv_pos_as_xyz
'x,y,z'
'-x,-y,-z'
'-x+1/2,-y,z+1/2'
'x+1/2,y,-z+1/2'
'x+1/2,-y+1/2,-z+1/2'
'-x+1/2,y+1/2,z+1/2'
'-x,y+1/2,-z'
'x,-y+1/2,z'
loop_
_atom_site_label
_atom_site_type_symbol
_atom_site_fract_x
_atom_site_fract_y
_atom_site_fract_z
Ce1 Ce 0.028 0.250 0.148
Pm1 Pm 0.182 0.062 0.668
Pt1 Pt 0.122 0.750 0.447


Entry 3:
# GGA-PBE AsPtSe2, optimized geometry
# Formation energy without anion corrections, eV per atom: 0.234
data_AsPtSe2
_cell_length_a 2.8670
_cell_length_b 2.8670
_cell_length_c 36.6622
_cell_angle_alpha 90.00
_cell_angle_beta 90.00
_cell_angle_gamma 120.00
_symmetry_space_group_name_H-M 'R -3 m'
_symmetry_Int_Tables_number 166
_symmetry_space_group_name_Hall '-R 3 2"'
loop_
_atom_site_label
_atom_site_type_symbol
_atom_site_fract_x
_atom_site_fract_y
_atom_site_fract_z
As1 As 0.0000 0.0000 0.0000
Pt1 Pt 0.0000 0.0000 0.5000
Se1 Se 0.0000 0.0000 0.4335


Entry 4:
# GGA-PBE InTeP, optimized geometry
# Formation energy without anion corrections, eV per atom: 0.123
data_InTeP
_cell_length_a 5.891
_cell_length_b 7.863
_cell_length_c 7.730
_cell_angle_alpha 90.00
_cell_angle_beta 106.60
_cell_angle_gamma 90.00
_symmetry_space_group_name_H-M 'P 1 21/c 1'
_symmetry_Int_Tables_number 14
loop_
_symmetry_equiv_pos_as_xyz
'x,y,z'
'-x,-y,-z'
'-x,y+1/2,-z+1/2'
'x,-y+1/2,z+1/2'
loop_
_atom_site_label
_atom_site_type_symbol
_atom_site_fract_x
_atom_site_fract_y
_atom_site_fract_z
In1 In 0.227 0.055 0.432
Te1 Te 0.224 0.629 0.407
P1 P 0.310 0.134 0.100


Entry 5:
# GGA-PBE Li4MnTe, optimized geometry
# Formation energy without anion corrections, eV per atom: 0.082
data_Li4MnTe
_cell_length_a 7.623
_cell_length_b 7.623
_cell_length_c 7.623
_cell_angle_alpha 90.00
_cell_angle_beta 90.00
_cell_angle_gamma 90.00
_symmetry_space_group_name_H-M 'F -4 3 m'
_symmetry_Int_Tables_number 216
_symmetry_space_group_name_Hall 'F -4 2 3'
loop_
_atom_site_label
_atom_site_type_symbol
_atom_site_fract_x
_atom_site_fract_y
_atom_site_fract_z
Li1 Li 0.124 0.124 0.124
Mn1 Mn 0.250 0.250 0.750
Te1 Te 0.000 0.000 0.500


Entry 6:
# GGA-PBE Zr2AlCu4, optimized geometry
# ΔE_f, eV per atom: 0.22
data_Zr2AlCu4
_cell_length_a 2.8505
_cell_length_b 2.8505
_cell_length_c 16.3664
_cell_angle_alpha 90.00
_cell_angle_beta 90.00
_cell_angle_gamma 120.00
_symmetry_space_group_name_H-M 'P 3 m 1'
_symmetry_Int_Tables_number 156
loop_
_symmetry_equiv_pos_as_xyz
'x,y,z'
'-y,x-y,z'
'-x+y,-x,z'
'-y,-x,z'
'-x+y,y,z'
'x,x-y,z'
loop_
_atom_site_label
_atom_site_type_symbol
_atom_site_fract_x
_atom_site_fract_y
_atom_site_fract_z
Zr1 Zr 0.0000 0.0000 0.0000
Zr2 Zr 0.3333 0.6667 0.3174
Al1 Al 0.6667 0.3333 0.6148
Cu1 Cu 0.0000 0.0000 0.1700
Cu2 Cu 0.0000 0.0000 0.7351
Cu3 Cu 0.6667 0.3333 0.4628
Cu4 Cu 0.6667 0.3333 0.8554


Entry 7:
# GGA-PBE KPF2, optimized geometry
# Formation energy without anion corrections, eV per atom: -1.143
data_KPF2
_cell_length_a 3.0825
_cell_length_b 3.0825
_cell_length_c 22.2351
_cell_angle_alpha 90.00
_cell_angle_beta 90.00
_cell_angle_gamma 120.00
_symmetry_space_group_name_H-M 'R -3 m'
_symmetry_Int_Tables_number 166
_symmetry_space_group_name_Hall '-R 3 2"'
loop_
_atom_site_label
_atom_site_type_symbol
_atom_site_fract_x
_atom_site_fract_y
_atom_site_fract_z
K1 K 0.0000 0.0000 0.0000
P1 P 0.0000 0.0000 0.5000
F1 F 0.0000 0.0000 0.2526


Entry 8:
# GGA-PBE Pr2Nd3Dy2, optimized geometry
# ΔE_f, eV per atom: 0.11
data_Pr2Nd3Dy2
_cell_length_a 17.898
_cell_length_b 3.566
_cell_length_c 8.719
_cell_angle_alpha 90.00
_cell_angle_beta 119.02
_cell_angle_gamma 90.00
_symmetry_space_group_name_H-M 'C 1 2/m 1'
_symmetry_Int_Tables_number 12
loop_
_symmetry_equiv_pos_as_xyz
'x,y,z'
'-x,-y,-z'
'-x,y,-z'
'x,-y,z'
'x+1/2,y+1/2,z'
'-x+1/2,-y+1/2,-z'
'-x+1/2,y+1/2,-z'
'x+1/2,-y+1/2,z'
loop_
_atom_site_label
_atom_site_type_symbol
_atom_site_fract_x
_atom_site_fract_y
_atom_site_fract_z
Pr1 Pr 0.065 0.000 0.412
Nd1 Nd 0.000 0.500 0.000
Nd2 Nd 0.213 0.500 0.296
Dy1 Dy 0.149 0.500 0.834


Entry 9:
# GGA-PBE Al2TeAs, optimized geometry
# Formation energy without anion corrections, eV per atom: 0.338
data_Al2TeAs
_cell_length_a 6.985
_cell_length_b 6.985
_cell_length_c 6.985
_cell_angle_alpha 90.00
_cell_angle_beta 90.00
_cell_angle_gamma 90.00
_symmetry_space_group_name_H-M 'F -4 3 m'
_symmetry_Int_Tables_number 216
_symmetry_space_group_name_Hall 'F -4 2 3'
loop_
_atom_site_label
_atom_site_type_symbol
_atom_site_fract_x
_atom_site_fract_y
_atom_site_fract_z
Al1 Al 0.000 0.000 0.000
Al2 Al 0.250 0.250 0.250
Te1 Te 0.250 0.250 0.750
As1 As 0.000 0.000 0.500


Entry 10:
# GGA-PBE VSeBr2, optimized geometry
# Formation energy without anion corrections, eV per atom: 0.391
data_VSeBr2
_cell_length_a 3.2253
_cell_length_b 3.2253
_cell_length_c 39.2592
_cell_angle_alpha 90.00
_cell_angle_beta 90.00
_cell_angle_gamma 120.00
_symmetry_space_group_name_H-M 'R -3 m'
_symmetry_Int_Tables_number 166
_symmetry_space_group_name_Hall '-R 3 2"'
loop_
_atom_site_label
_atom_site_type_symbol
_atom_site_fract_x
_atom_site_fract_y
_atom_site_fract_z
V1 V 0.0000 0.0000 0.0000
Se1 Se 0.0000 0.0000 0.5000
Br1 Br 0.0000 0.0000 0.0591


Entry 11:
# GGA-PBE UBiSb, optimized geometry
# Formation energy without anion corrections, eV per atom: 0.043
data_UBiSb
_cell_length_a 5.2872
_cell_length_b 5.2872
_cell_length_c 21.8860
_cell_angle_alpha 90.00
_cell_angle_beta 90.00
_cell_angle_gamma 120.00
_symmetry_space_group_name_H-M 'R -3 m'
_symmetry_Int_Tables_number 166
_symmetry_space_group_name_Hall '-R 3 2"'
loop_
_atom_site_label
_atom_site_type_symbol
_atom_site_fract_x
_atom_site_fract_y
_atom_site_fract_z
U1 U 0.0000 0.0000 0.0547
Bi1 Bi 0.0000 0.0000 0.2102
Sb1 Sb 0.0000 0.0000 0.3542


Entry 12:
# GGA-PBE Tm6Ir5Ru, optimized geometry
# ΔE_f, eV per atom: -0.86
data_Tm6Ir5Ru
_cell_length_a 4.804
_cell_length_b 14.412
_cell_length_c 6.653
_cell_angle_alpha 90.00
_cell_angle_beta 90.00
_cell_angle_gamma 90.00
_symmetry_space_group_name_H-M 'C m m m'
_symmetry_Int_Tables_number 65
_symmetry_space_group_name_Hall '-C 2 2'
loop_
_atom_site_label
_atom_site_type_symbol
_atom_site_fract_x
_atom_site_fract_y
_atom_site_fract_z
Tm1 Tm 0.000 0.000 0.249
Tm2 Tm 0.000 0.334 0.249
Ir1 Ir 0.000 0.166 0.000
Ir2 Ir 0.000 0.167 0.500
Ir3 Ir 0.000 0.500 0.500
Ru1 Ru 0.000 0.500 0.000


Entry 13:
# GGA-PBE MnCd2H, optimized geometry
# E, eV/f.u.: -11.5
data_MnCd2H
_cell_length_a 6.481
_cell_length_b 6.481
_cell_length_c 6.481
_cell_angle_alpha 90.00
_cell_angle_beta 90.00
_cell_angle_gamma 90.00
_symmetry_space_group_name_H-M 'F m -3 m'
_symmetry_Int_Tables_number 225
_symmetry_space_group_name_Hall '-F 4 2 3'
loop_
_atom_site_label
_atom_site_type_symbol
_atom_site_fract_x
_atom_site_fract_y
_atom_site_fract_z
Mn1 Mn 0.000 0.000 0.000
Cd1 Cd 0.250 0.250 0.250
H1 H 0.000 0.000 0.500


Entry 14:
# GGA-PBE Sr5Zr, optimized geometry
# ΔE_f, eV per atom: 0.34
data_Sr5Zr
_cell_length_a 6.9972
_cell_length_b 6.9972
_cell_length_c 6.4653
_cell_angle_alpha 90.00
_cell_angle_beta 90.00
_cell_angle_gamma 120.00
_symmetry_space_group_name_H-M 'P -6 2 m'
_symmetry_Int_Tables_number 189
_symmetry_space_group_name_Hall 'P -6 -2'
loop_
_atom_site_label
_atom_site_type_symbol
_atom_site_fract_x
_atom_site_fract_y
_atom_site_fract_z
Sr1 Sr 0.0000 0.6888 0.0000
Sr2 Sr 0.3333 0.6667 0.5000
Zr1 Zr 0.0000 0.0000 0.5000


Entry 15:
# GGA-PBE YMn2Ru, optimized geometry
# ΔE_f, eV per atom: 0.56
data_YMn2Ru
_cell_length_a 2.9865
_cell_length_b 2.9865
_cell_length_c 27.5359
_cell_angle_alpha 90.00
_cell_angle_beta 90.00
_cell_angle_gamma 120.00
_symmetry_space_group_name_H-M 'R -3 m'
_symmetry_Int_Tables_number 166
_symmetry_space_group_name_Hall '-R 3 2"'
loop_
_atom_site_label
_atom_site_type_symbol
_atom_site_fract_x
_atom_site_fract_y
_atom_site_fract_z
Y1 Y 0.0000 0.0000 0.0000
Mn1 Mn 0.0000 0.0000 0.2374
Ru1 Ru 0.0000 0.0000 0.5000


Entry 16:
# GGA-PBE La2Sm12Sc, optimized geometry
# ΔE_f, eV per atom: 0.33
data_La2Sm12Sc
_cell_length_a 6.575
_cell_length_b 6.575
_cell_length_c 24.921
_cell_angle_alpha 90.00
_cell_angle_beta 90.00
_cell_angle_gamma 90.00
_symmetry_space_group_name_H-M 'P 4/n b m'
_symmetry_Int_Tables_number 125
loop_
_symmetry_equiv_pos_as_xyz
'x,y,z'
'-x,-y,-z'
'-y+1/2,x,z'
'y+1/2,-x,-z'
'-x+1/2,-y+1/2,z'
'x+1/2,y+1/2,-z'
'y,-x+1/2,z'
'-y,x+1/2,-z'
'x,-y+1/2,-z'
'-x,y+1/2,z'
'-y+1/2,-x+1/2,-z'
'y+1/2,x+1/2,z'
'-x+1/2,y,-z'
'x+1/2,-y,z'
'y,x,-z'
'-y,-x,z'
loop_
_atom_site_label
_atom_site_type_symbol
_atom_site_fract_x
_atom_site_fract_y
_atom_site_fract_z
La1 La 0.250 0.750 0.238
Sm1 Sm 0.059 0.559 0.393
Sm2 Sm 0.082 0.582 0.938
Sm3 Sm 0.250 0.250 0.164
Sm4 Sm 0.250 0.250 0.290
Sc1 Sc 0.250 0.750 0.500


Entry 17:
# GGA-PBE TcSbP2, optimized geometry
# Formation energy without anion corrections, eV per atom: 0.504
data_TcSbP2
_cell_length_a 3.106
_cell_length_b 5.404
_cell_length_c 8.490
_cell_angle_alpha 90.00
_cell_angle_beta 90.00
_cell_angle_gamma 90.00
_symmetry_space_group_name_H-M 'C m m 2'
_symmetry_Int_Tables_number 35
loop_
_symmetry_equiv_pos_as_xyz
'x,y,z'
'-x,-y,z'
'-x,y,z'
'x,-y,z'
'x+1/2,y+1/2,z'
'-x+1/2,-y+1/2,z'
'-x+1/2,y+1/2,z'
'x+1/2,-y+1/2,z'
loop_
_atom_site_label
_atom_site_type_symbol
_atom_site_fract_x
_atom_site_fract_y
_atom_site_fract_z
Tc1 Tc 0.000 0.000 0.000
Sb1 Sb 0.000 0.500 0.280
P1 P 0.000 0.000 0.600
P2 P 0.000 0.500 0.794


Entry 18:
# GGA-PBE MgCrPd, optimized geometry
# ΔE_f, eV per atom: -0.13
data_MgCrPd
_cell_length_a 7.912
_cell_length_b 2.904
_cell_length_c 8.113
_cell_angle_alpha 90.00
_cell_angle_beta 90.00
_cell_angle_gamma 90.00
_symmetry_space_group_name_H-M 'P n m a'
_symmetry_Int_Tables_number 62
loop_
_symmetry_equiv_pos_as_xyz
'x,y,z'
'-x,-y,-z'
'-x+1/2,-y,z+1/2'
'x+1/2,y,-z+1/2'
'x+1/2,-y+1/2,-z+1/2'
'-x+1/2,y+1/2,z+1/2'
'-x,y+1/2,-z'
'x,-y+1/2,z'
loop_
_atom_site_label
_atom_site_type_symbol
_atom_site_fract_x
_atom_site_fract_y
_atom_site_fract_z
Mg1 Mg 0.074 0.250 0.163
Cr1 Cr 0.083 0.250 0.552
Pd1 Pd 0.219 0.250 0.858


Entry 19:
# GGA-PBE LaPrNd2Y5, optimized geometry
# ΔE_f, eV per atom: 0.23
data_LaPrNd2Y5
_cell_length_a 8.791
_cell_length_b 8.791
_cell_length_c 15.839
_cell_angle_alpha 90.00
_cell_angle_beta 90.00
_cell_angle_gamma 90.00
_symmetry_space_group_name_H-M 'I 4/m c m'
_symmetry_Int_Tables_number 140
_symmetry_space_group_name_Hall '-I 4 2c'
loop_
_atom_site_label
_atom_site_type_symbol
_atom_site_fract_x
_atom_site_fract_y
_atom_site_fract_z
La1 La 0.000 0.000 0.250
Pr1 Pr 0.000 0.500 0.250
Nd1 Nd 0.118 0.382 0.000
Y1 Y 0.000 0.000 0.000
Y2 Y 0.207 0.293 0.365


Entry 20:
# GGA-PBE SmGd2C, optimized geometry
# ΔE_f, eV per atom: 0.95
data_SmGd2C
_cell_length_a 3.7607
_cell_length_b 3.7607
_cell_length_c 30.4147
_cell_angle_alpha 90.00
_cell_angle_beta 90.00
_cell_angle_gamma 120.00
_symmetry_space_group_name_H-M 'R -3 m'
_symmetry_Int_Tables_number 166
_symmetry_space_group_name_Hall '-R 3 2"'
loop_
_atom_site_label
_atom_site_type_symbol
_atom_site_fract_x
_atom_site_fract_y
_atom_site_fract_z
Sm1 Sm 0.0000 0.0000 0.0000
Gd1 Gd 0.0000 0.0000 0.4292
C1 C 0.0000 0.0000 0.5000